Entry 1:
Density functional theory data (PBE) for a geometry-optimized Cs2LiGdI6 structure.

Summary:
Calculated volume, A^3/atom: 44.2
SG: I4/mmm
Calculated total energy, eV per formula unit: -32.0

a = 8.553 Å, b = 8.553 Å, c = 8.553 Å
α = 120.06°, β = 120.06°, γ = 89.90°
Element x y z (fractional)
Cs 0.250 0.750 0.500
Cs 0.750 0.250 0.500
Li 0.000 0.000 0.000
Gd 0.500 0.500 0.000
I 0.248 0.248 0.000
I 0.248 0.248 0.496
I 0.248 0.752 0.000
I 0.752 0.248 0.000
I 0.752 0.752 0.000
I 0.752 0.752 0.504

Entry 2:
Density functional theory data (PBE) for a geometry-optimized K2NaZnH6 structure.

Summary:
Calculated volume, A^3/atom: 12.9
SG: I4/m
Calculated total energy, eV per formula unit: -25.0

a = 5.682 Å, b = 5.682 Å, c = 5.682 Å
α = 120.26°, β = 120.26°, γ = 89.56°
Element x y z (fractional)
K 0.250 0.750 0.500
K 0.750 0.250 0.500
Na 0.000 0.000 0.000
Zn 0.500 0.500 0.000
H 0.277 0.277 0.000
H 0.277 0.282 0.558
H 0.282 0.723 0.005
H 0.718 0.277 0.995
H 0.723 0.718 0.442
H 0.723 0.723 0.000

Entry 3:
Density functional theory data (PBE) for a geometry-optimized PdPbO3 structure.

Summary:
Calculated volume, A^3/atom: 12.6
SG: P2_1/c
Calculated total energy, eV per formula unit: -27.0

a = 5.582 Å, b = 5.748 Å, c = 9.638 Å
α = 90.00°, β = 125.27°, γ = 90.00°
Element x y z (fractional)
Pd 0.000 0.000 0.000
Pd 0.000 0.500 0.500
Pd 0.500 0.000 0.500
Pd 0.500 0.500 0.000
Pb 0.236 0.051 0.750
Pb 0.236 0.449 0.250
Pb 0.764 0.551 0.750
Pb 0.764 0.949 0.250
O 0.141 0.200 0.445
O 0.141 0.300 0.945
O 0.248 0.700 0.444
O 0.248 0.800 0.944
O 0.358 0.048 0.250
O 0.358 0.452 0.750
O 0.642 0.548 0.250
O 0.642 0.952 0.750
O 0.752 0.200 0.056
O 0.752 0.300 0.556
O 0.859 0.700 0.055
O 0.859 0.800 0.555

Entry 4:
Density functional theory data (PBE) for a geometry-optimized LiBeGaFe structure.

Summary:
Calculated volume, A^3/atom: 11.0
SG: F-43m
Calculated total energy, eV per formula unit: -17.0

a = 3.963 Å, b = 3.963 Å, c = 3.963 Å
α = 60.00°, β = 60.00°, γ = 60.00°
Element x y z (fractional)
Li 0.000 0.000 0.000
Be 0.750 0.750 0.750
Ga 0.250 0.250 0.250
Fe 0.500 0.500 0.500